# K3TmCl6

A PBEsol-optimized structure of K3TmCl6 (SCAN, Alexandria via LeMat-Bulk).

Results
Its space-group type is P2_1/c (14). As for the formation energy without anion corrections: -2.377 eV per atom. Its total energy is -148.46 eV/f.u.

abc: 7.656 12.325 12.895
angles: 109.61 90.00 90.00
Element x y z (fractional)
1 Cl 0.798 0.392 0.337
2 Cl 0.328 0.650 0.151
3 Cl 0.202 0.608 0.663
4 Cl 0.791 0.577 0.105
5 Cl 0.828 0.850 0.849
6 Cl 0.132 0.306 0.501
7 Cl 0.298 0.108 0.663
8 Cl 0.772 0.497 0.646
9 Cl 0.228 0.503 0.354
10 Cl 0.868 0.694 0.499
11 Cl 0.291 0.923 0.895
12 Cl 0.209 0.423 0.895
13 Cl 0.702 0.892 0.337
14 Cl 0.030 0.856 0.103
15 Cl 0.272 0.003 0.354
16 Cl 0.970 0.144 0.897
17 Cl 0.632 0.194 0.499
18 Cl 0.470 0.356 0.103
19 Cl 0.368 0.806 0.501
20 Cl 0.709 0.077 0.105
21 Cl 0.672 0.350 0.849
22 Cl 0.530 0.644 0.897
23 Cl 0.172 0.150 0.151
24 Cl 0.728 0.997 0.646
25 K 0.080 0.889 0.678
26 K 0.058 0.770 0.317
27 K 0.540 0.126 0.889
28 K 0.920 0.111 0.322
29 K 0.420 0.389 0.678
30 K 0.942 0.230 0.683
31 K 0.442 0.270 0.317
32 K 0.558 0.730 0.683
33 K 0.580 0.611 0.322
34 K 0.960 0.626 0.889
35 K 0.040 0.374 0.111
36 K 0.460 0.874 0.111
37 Tm 0.000 0.000 0.000
38 Tm 0.000 0.500 0.500
39 Tm 0.500 0.500 0.000
40 Tm 0.500 0.000 0.500